#one
Below is an optimized crystal structure of HgSbTe2P, with properties calculated at the GGA-PBE level.

Unit cell a=5.3956 b=5.3956 c=5.1603 alpha=90.00 beta=90.00 gamma=90.00
Closest atoms and distances in Å follow each position.
Element x y z (fractional)
Hg 0.5000 0.5000 0.5000  8 Te 3.73, 4 Sb 3.82
Te 0.5000 0.0000 0.0000  2 P 2.70
Te 0.0000 0.5000 0.0000  2 P 2.70
P 0.0000 0.0000 0.0000  2 Sb 2.58, 4 Te 2.70
Sb 0.0000 0.0000 0.5000  2 P 2.58

Density (g/cm3): 6.7
Space-group type: P4/mmm

#two
Below is an optimized crystal structure of HgSbTe2P, with properties calculated at the GGA-PBE level.

Unit cell a=5.5550 b=5.5550 c=5.5908 alpha=90.00 beta=90.00 gamma=90.00
Closest atoms and distances in Å follow each position.
Element x y z (fractional)
Te 0.0000 0.5000 0.0000  2 Hg 2.78
Te 0.5000 0.0000 0.0000  2 Hg 2.78
P 0.5000 0.5000 0.5000  4 Sb 3.93, 8 Te 3.94
Sb 0.0000 0.0000 0.5000  2 Hg 2.80
Hg 0.0000 0.0000 0.0000  4 Te 2.78, 2 Sb 2.80

Density (g/cm3): 5.9
Space-group type: P4/mmm

Looking at the structures above, which would you pick as the most stable? I would pick #one.